# Ce2SmHg5

A geometry-optimized Ce2SmHg5 structure (GGA-PBE, the Alexandria database).

ΔE_f (eV/f.u.): -2.8
V (Å³/f.u.): 209

Cell lengths 8.696, 8.696, 8.696 Å; angles 145.55, 145.55, 49.51 degrees
Sites, in units of the cell vectors:
Ce 0.236 0.236 0.000
Ce 0.764 0.764 0.000
Sm 0.500 0.500 0.000
Hg 0.000 0.000 0.000
Hg 0.120 0.620 0.500
Hg 0.380 0.880 0.500
Hg 0.620 0.120 0.500
Hg 0.880 0.380 0.500

---

# SrCrSi

A geometry-optimized SrCrSi structure (GGA-PBE, the Alexandria database).

VASP energy (eV per cell): -15.7
V (Å³/f.u.): 81

Cell lengths 4.853, 4.853, 4.853 Å; angles 60.00, 60.00, 60.00 degrees
Sites, in units of the cell vectors:
Sr 0.000 0.000 0.000
Cr 0.500 0.500 0.500
Si 0.750 0.750 0.750

---

# Eu2SbI

A geometry-optimized Eu2SbI structure (GGA-PBE, the Alexandria database).

VASP energy (eV per cell): -30.6
V (Å³/f.u.): 135

Cell lengths 4.018, 4.018, 8.348 Å; angles 90.00, 90.00, 90.00 degrees
Sites, in units of the cell vectors:
Eu 0.000 0.000 0.214
Eu 0.000 0.000 0.786
Sb 0.500 0.500 0.000
I 0.500 0.500 0.500

---

# MnIr3W

A geometry-optimized MnIr3W structure (GGA-PBE, the Alexandria database).

ΔE_f (eV/f.u.): 7.8
V (Å³/f.u.): 107

Cell lengths 4.746, 4.746, 4.746 Å; angles 90.00, 90.00, 90.00 degrees
Sites, in units of the cell vectors:
Mn 0.000 0.000 0.000
Ir 0.000 0.500 0.500
Ir 0.500 0.000 0.500
Ir 0.500 0.500 0.000
W 0.500 0.500 0.500

---

# Th3Cu4Sn

A geometry-optimized Th3Cu4Sn structure (GGA-PBE, the Alexandria database).

ΔE_f (eV/f.u.): -0.6
V (Å³/f.u.): 185

Cell lengths 8.525, 8.525, 8.525 Å; angles 154.35, 136.30, 51.36 degrees
Sites, in units of the cell vectors:
Th 0.000 0.000 0.000
Th 0.301 0.801 0.500
Th 0.699 0.199 0.500
Cu 0.066 0.372 0.694
Cu 0.321 0.628 0.694
Cu 0.679 0.372 0.306
Cu 0.934 0.628 0.306
Sn 0.500 0.500 0.000

---

# AlCdPb2

A geometry-optimized AlCdPb2 structure (GGA-PBE, the Alexandria database).

ΔE_f (eV/f.u.): 0.8
V (Å³/f.u.): 108

Cell lengths 6.344, 6.344, 6.344 Å; angles 147.64, 127.09, 63.40 degrees
Sites, in units of the cell vectors:
Al 0.000 0.000 0.000
Cd 0.500 0.500 0.000
Pb 0.231 0.731 0.500
Pb 0.769 0.269 0.500

---

# CuBiBI2

A geometry-optimized CuBiBI2 structure (GGA-PBE, the Alexandria database).

VASP energy (eV per cell): -11.4
V (Å³/f.u.): 187

Cell lengths 6.334, 6.334, 4.652 Å; angles 90.00, 90.00, 90.00 degrees
Sites, in units of the cell vectors:
Cu 0.000 0.000 0.000
Bi 0.500 0.500 0.500
B 0.500 0.500 0.000
I 0.000 0.500 0.500
I 0.500 0.000 0.500

---

# Sr2Fe

A geometry-optimized Sr2Fe structure (GGA-PBE, the Alexandria database).

ΔE_f (eV/f.u.): 1.0
V (Å³/f.u.): 118

Cell lengths 8.618, 8.618, 4.139 Å; angles 90.00, 90.00, 50.26 degrees
Sites, in units of the cell vectors:
Sr 0.117 0.625 0.750
Sr 0.375 0.883 0.750
Sr 0.625 0.117 0.250
Sr 0.883 0.375 0.250
Fe 0.066 0.934 0.250
Fe 0.934 0.066 0.750